(1)
PBE-GGA K3Ge5As2, optimized geometry; space-group type = Ibam (72); D(E_F) = 2.8 states/eV/f.u.; E_form = -102 meV per atom
1.0
-5.643 7.114 3.344
5.643 -7.114 3.344
5.643 7.114 -3.344
K Ge As
6 10 4
direct
0.126 0.743 0.869 K
0.250 0.250 0.000 K
0.374 0.243 0.617 K
0.626 0.757 0.383 K
0.750 0.750 0.000 K
0.874 0.257 0.131 K
0.008 0.750 0.258 Ge
0.120 0.384 0.504 Ge
0.250 0.750 0.500 Ge
0.380 0.884 0.264 Ge
0.492 0.750 0.742 Ge
0.508 0.250 0.258 Ge
0.620 0.116 0.736 Ge
0.750 0.250 0.500 Ge
0.880 0.616 0.496 Ge
0.992 0.250 0.742 Ge
0.160 0.139 0.299 As
0.340 0.639 0.979 As
0.660 0.361 0.021 As
0.840 0.861 0.701 As

***

(2)
PBE-GGA ZnCrAu2, optimized geometry; space-group type = I-4m2 (119); D(E_F) = 1.2 states/eV/f.u.; E_form = -26 meV per atom
1.0
4.010 0.000 0.000
0.000 4.010 0.000
0.000 0.000 8.224
Zn Cr Au
2 2 4
direct
0.000 0.000 0.000 Zn
0.500 0.500 0.500 Zn
0.000 0.500 0.750 Cr
0.500 0.000 0.250 Cr
0.000 0.000 0.500 Au
0.000 0.500 0.250 Au
0.500 0.000 0.750 Au
0.500 0.500 0.000 Au

***

(3)
PBE-GGA BaAcIrN2, optimized geometry; space-group type = P2/c (13); D(E_F) = 4.4 states/eV/f.u.; formation energy without anion corrections = -0.44 eV per atom
1.0
5.979 0.000 0.000
0.000 5.357 0.000
-0.016 0.000 7.530
Ba Ac Ir N
2 2 2 4
direct
0.000 0.001 0.250 Ba
0.000 0.999 0.750 Ba
0.500 0.500 0.250 Ac
0.500 0.500 0.750 Ac
0.500 0.000 0.000 Ir
0.500 0.000 0.500 Ir
0.276 0.262 0.000 N
0.276 0.738 0.500 N
0.724 0.262 0.500 N
0.724 0.738 0.000 N

***

(4)
PBE-GGA TaTcBr, optimized geometry; space-group type = F-43m (216); D(E_F) = 2.6 states/eV/f.u.; energy relative to the lowest polymorph listed for this composition = 0.962 eV/atom; formation energy without anion corrections = 1.03 eV per atom
1.0
6.220 0.000 0.000
0.000 6.220 0.000
0.000 0.000 6.220
Ta Tc Br
4 4 4
direct
0.000 0.000 0.000 Ta
0.000 0.500 0.500 Ta
0.500 0.000 0.500 Ta
0.500 0.500 0.000 Ta
0.250 0.250 0.250 Tc
0.250 0.750 0.750 Tc
0.750 0.250 0.750 Tc
0.750 0.750 0.250 Tc
0.250 0.250 0.750 Br
0.250 0.750 0.250 Br
0.750 0.250 0.250 Br
0.750 0.750 0.750 Br

***

(5)
PBE-GGA CeYRh, optimized geometry; space-group type = P3m1 (156); D(E_F) = 6.5 states/eV/f.u.; E_form = -297 meV per atom; energy relative to the lowest polymorph listed for this composition = 0.233 eV/atom
1.0
4.588 0.000 0.000
-2.294 3.974 0.000
0.000 0.000 4.010
Ce Y Rh
1 1 1
direct
0.000 0.000 0.000 Ce
0.333 0.667 0.561 Y
0.667 0.333 0.275 Rh

***

(6)
PBE-GGA Zn3Fe, optimized geometry; space-group type = C2/m (12); D(E_F) = 2.6 states/eV/f.u.; E_form = 49 meV per atom
1.0
8.960 0.000 0.000
0.000 2.670 0.000
-0.990 0.000 4.543
Zn Fe
6 2
direct
0.000 0.000 0.000 Zn
0.247 0.000 0.739 Zn
0.253 0.500 0.261 Zn
0.500 0.500 0.000 Zn
0.747 0.500 0.739 Zn
0.753 0.000 0.261 Zn
0.000 0.500 0.500 Fe
0.500 0.000 0.500 Fe

***

(7)
PBE-GGA Ti2AlAu, optimized geometry; space-group type = P4/mmm (123); D(E_F) = 4.8 states/eV/f.u.; E_form = -391 meV per atom
1.0
2.907 0.000 0.000
0.000 2.907 0.000
0.000 0.000 7.864
Ti Al Au
2 1 1
direct
0.000 0.000 0.246 Ti
0.000 0.000 0.754 Ti
0.500 0.500 0.000 Al
0.500 0.500 0.500 Au

***

(8)
PBE-GGA LiCuPdF4, optimized geometry; space-group type = Imma (74); D(E_F) = 3.5 states/eV/f.u.; formation energy without anion corrections = -1.57 eV per atom
1.0
-2.963 3.637 4.026
2.963 -3.637 4.026
2.963 3.637 -4.026
Li Cu Pd F
2 2 2 8
direct
0.000 0.000 0.000 Li
0.500 0.000 0.500 Li
0.500 0.000 0.000 Cu
0.500 0.500 0.500 Cu
0.032 0.282 0.750 Pd
0.968 0.718 0.250 Pd
0.260 0.231 0.471 F
0.260 0.790 0.029 F
0.283 0.249 0.034 F
0.284 0.751 0.534 F
0.716 0.249 0.466 F
0.717 0.751 0.966 F
0.740 0.210 0.971 F
0.740 0.769 0.529 F

***

(9)
PBE-GGA NdYZnRu, optimized geometry; space-group type = Amm2 (38); D(E_F) = 4.5 states/eV/f.u.; E_form = -272 meV per atom; energy relative to the lowest polymorph listed for this composition = 0.003 eV/atom
1.0
4.357 0.000 0.000
0.000 4.015 0.000
0.000 0.000 10.654
Nd Y Zn Ru
2 2 2 2
direct
0.000 0.000 0.000 Nd
0.000 0.500 0.500 Nd
0.500 0.000 0.283 Y
0.500 0.500 0.783 Y
0.500 0.000 0.578 Zn
0.500 0.500 0.078 Zn
0.000 0.000 0.719 Ru
0.000 0.500 0.219 Ru

***

(10)
PBE-GGA Tm3IrPb, optimized geometry; space-group type = C2/m (12); D(E_F) = 4.1 states/eV/f.u.; E_form = -583 meV per atom; energy relative to the lowest polymorph listed for this composition = 0.000 eV/atom
1.0
7.270 -2.253 0.000
7.270 2.253 0.000
-5.436 0.000 8.147
Tm Ir Pb
6 2 2
direct
0.093 0.093 0.445 Tm
0.347 0.347 0.218 Tm
0.360 0.360 0.780 Tm
0.640 0.640 0.220 Tm
0.653 0.653 0.782 Tm
0.907 0.907 0.555 Tm
0.274 0.274 0.421 Ir
0.726 0.726 0.579 Ir
0.087 0.087 0.939 Pb
0.913 0.913 0.061 Pb

***

(11)
PBE-GGA Sr4InGa3, optimized geometry; space-group type = Pmm2 (25); D(E_F) = 7.9 states/eV/f.u.; E_form = -400 meV per atom
1.0
4.516 0.000 0.000
0.000 4.802 0.000
0.000 0.000 12.173
Sr In Ga
4 1 3
direct
0.000 0.000 0.000 Sr
0.000 0.500 0.487 Sr
0.500 0.000 0.703 Sr
0.500 0.500 0.212 Sr
0.000 0.500 0.783 In
0.000 0.000 0.294 Ga
0.500 0.000 0.406 Ga
0.500 0.500 0.928 Ga

***

(12)
PBE-GGA TbDyHo2P4, optimized geometry; space-group type = P2/m (10); D(E_F) = 0.9 states/eV/f.u.; E_form = -1614 meV per atom
1.0
6.931 0.000 0.000
0.000 4.003 0.000
-2.309 0.000 6.535
Tb Dy Ho P
1 1 2 4
direct
0.000 0.000 0.000 Tb
0.000 0.500 0.500 Dy
0.500 0.000 0.500 Ho
0.500 0.500 0.000 Ho
0.252 0.000 0.750 P
0.252 0.500 0.251 P
0.748 0.000 0.250 P
0.748 0.500 0.749 P